Record 1
GeSNO2 GGA-PBE optimized geometry; uncorrected energy = -4.902 eV/atom; formation energy without anion corrections = 0.50 eV/atom; total moment = 0.0 Bohr magnetons per cell; space-group type = P4/mmm, No. 123
1.0
3.791 0.000 0.000
0.000 3.791 0.000
0.000 0.000 3.614
Ge S O N
1 1 2 1
Cartesian
1.896 1.896 1.807
0.000 0.000 0.000
0.000 1.896 0.000
1.896 0.000 0.000
0.000 0.000 1.807

***

Record 2
LaDyPuCd GGA-PBE optimized geometry; formation energy = 61 meV/atom; uncorrected energy = -6.133 eV/atom; total moment = 6.6 Bohr magnetons per cell; space-group type = F-43m, No. 216
1.0
-3.443 -3.387 -2.628
1.906 -3.374 -3.900
0.233 -5.415 0.923
Cd Dy La Pu
1 1 1 1
Cartesian
0.000 0.000 0.000
-0.326 -3.044 -1.401
-0.978 -9.133 -4.204
-0.652 -6.088 -2.803

***

Record 3
CaScTl GGA-PBE optimized geometry; formation energy = -238 meV/atom; uncorrected energy = -3.804 eV/atom; ΔE to the lowest computed polymorph = 0.049 eV/atom; total moment = 0.0 Bohr magnetons per cell; space-group type = Cm, No. 8
1.0
-2.457 0.547 -3.043
-4.154 -8.223 -0.698
-3.863 0.172 3.149
Sc Ca Tl
2 2 2
Cartesian
-3.370 -1.595 -2.493
-4.052 -1.597 0.619
-5.643 -4.456 -1.174
-6.635 -7.115 1.701
-6.033 -7.811 -1.471
-6.257 -3.870 1.990

***

Record 4
BeIn2Ni GGA-PBE optimized geometry; formation energy = 491 meV/atom; uncorrected energy = -3.256 eV/atom; ΔE to the lowest computed polymorph = 0.425 eV/atom; total moment = 0.0 Bohr magnetons per cell; space-group type = F-43m, No. 216
1.0
-0.223 -3.632 -2.764
2.499 -0.118 -3.824
3.557 -2.851 -0.318
Ni Be In
1 1 2
Cartesian
4.375 -4.951 -5.180
2.917 -3.300 -3.453
0.000 0.000 0.000
1.458 -1.650 -1.727

***

Record 5
NiSbW GGA-PBE optimized geometry; uncorrected energy = -7.134 eV/atom; ΔE to the lowest computed polymorph = 0.031 eV/atom; formation energy without anion corrections = 0.49 eV/atom; total moment = 0.0 Bohr magnetons per cell; space-group type = P3m1, No. 156
1.0
-0.654 -0.562 2.892
2.617 -0.946 -1.167
2.743 5.503 1.690
Ni Sb W
1 1 1
Cartesian
2.716 5.449 1.673
1.317 1.076 2.081
3.417 2.974 1.351

***

Record 6
GdTmGa2 GGA-PBE optimized geometry; formation energy = -409 meV/atom; uncorrected energy = -6.561 eV/atom; ΔE to the lowest computed polymorph = 0.176 eV/atom; total moment = 7.1 Bohr magnetons per cell; space-group type = R-3m, No. 166
1.0
-2.377 -2.075 1.786
1.147 -2.929 1.805
0.732 3.202 8.375
Gd Tm Ga
1 1 2
Cartesian
0.000 0.000 0.000
-0.249 -0.901 5.983
-0.380 -1.375 8.939
-0.119 -0.426 3.027